# 1
This record from Alexandria describes an optimized crystal structure of Mn2HgSbOs. The functional is PBE.

Computed properties:
Volume ... 22.4 Å³ per atom
Energy ... -4.447 eV/atom

a = 4.7278 Å, b = 5.0090 Å, c = 4.7278 Å
α = 90.00°, β = 90.00°, γ = 90.00°
Last column: nearest neighbours and their distance in Å.
Atoms (fractional coordinates):
1 Mn 0.5000 0.0000 0.0000  2 Hg 2.36
2 Sb 0.5000 0.5000 0.5000  4 Os 3.34, 8 Mn 3.44
3 Mn 0.0000 0.0000 0.5000  2 Hg 2.36
4 Hg 0.0000 0.0000 0.0000  4 Mn 2.36, 2 Os 2.50
5 Os 0.0000 0.5000 0.0000  2 Hg 2.50

***

# 2
This record from Alexandria describes an optimized crystal structure of AlP2SN. The functional is PBE.

Computed properties:
Volume ... 20.0 Å³ per atom
Energy ... -3.832 eV/atom

a = 4.6741 Å, b = 4.6741 Å, c = 4.5723 Å
α = 90.00°, β = 90.00°, γ = 90.00°
Last column: nearest neighbours and their distance in Å.
Atoms (fractional coordinates):
1 N 0.5000 0.5000 0.5000  8 P 3.27, 4 S 3.31
2 P 0.5000 0.0000 0.0000  2 Al 2.34
3 Al 0.0000 0.0000 0.0000  2 S 2.29, 4 P 2.34
4 P 0.0000 0.5000 0.0000  2 Al 2.34
5 S 0.0000 0.0000 0.5000  2 Al 2.29

***

# 3
This record from Alexandria describes an optimized crystal structure of HoTlCd. The functional is PBE.

Computed properties:
Volume ... 25.6 Å³ per atom
Formation energy from the elements ... -239 meV per atom
Energy ... -2.859 eV/atom

a = 3.6030 Å, b = 4.9581 Å, c = 4.9581 Å
α = 120.00°, β = 90.00°, γ = 90.00°
Last column: nearest neighbours and their distance in Å.
Atoms (fractional coordinates):
1 Tl 0.2316 0.3333 0.6667  3 Cd 2.90
2 Cd 0.1105 0.0000 0.0000  3 Tl 2.90
3 Ho 0.6579 0.6667 0.3333  6 Tl 3.25-3.53, 6 Cd 3.29-3.48, 2 Ho 3.60

***

# 4
This record from Alexandria describes an optimized crystal structure of Cu6Pt5Rh. The functional is PBE.

Computed properties:
Volume ... 13.8 Å³ per atom
Formation energy from the elements ... -86 meV per atom
Energy ... -5.263 eV/atom

a = 3.9141 Å, b = 7.1568 Å, c = 7.1568 Å
α = 109.80°, β = 105.90°, γ = 105.90°
Last column: nearest neighbours and their distance in Å.
Atoms (fractional coordinates):
1 Pt 0.5000 0.1645 0.8355  8 Cu 2.64-2.68, 2 Rh 2.75, 2 Pt 2.78
2 Pt 0.5000 0.8355 0.1645  8 Cu 2.64-2.68, 2 Rh 2.75, 2 Pt 2.78
3 Cu 0.7499 0.2499 0.2499  6 Pt 2.64-2.67, 2 Rh 2.66-2.67, 4 Cu 2.76
4 Pt 0.5000 0.5000 0.5000  8 Cu 2.66-2.67, 4 Pt 2.77
5 Rh 0.0000 0.0000 0.0000  8 Cu 2.66-2.67, 4 Pt 2.75
6 Cu 0.2501 0.7501 0.7501  6 Pt 2.64-2.67, 2 Rh 2.66-2.67, 4 Cu 2.76
7 Cu 0.7502 0.9166 0.5837  7 Pt 2.66-2.68, 1 Rh 2.66, 4 Cu 2.76-2.77
8 Cu 0.2498 0.4163 0.0834  7 Pt 2.66-2.68, 1 Rh 2.66, 4 Cu 2.76-2.77
9 Cu 0.2498 0.0834 0.4163  7 Pt 2.66-2.68, 1 Rh 2.66, 4 Cu 2.76-2.77
10 Cu 0.7502 0.5837 0.9166  7 Pt 2.66-2.68, 1 Rh 2.66, 4 Cu 2.76-2.77
11 Pt 0.0000 0.6672 0.3328  8 Cu 2.66-2.67, 4 Pt 2.77-2.78
12 Pt 0.0000 0.3328 0.6672  8 Cu 2.66-2.67, 4 Pt 2.77-2.78

***

# 5
This record from Alexandria describes an optimized crystal structure of Na2TlSn5. The functional is PBE.

Computed properties:
Volume ... 27.3 Å³ per atom
Formation energy from the elements ... -103 meV per atom
Energy ... -3.230 eV/atom

a = 6.5273 Å, b = 6.5292 Å, c = 6.9019 Å
α = 118.34°, β = 118.34°, γ = 89.98°
Last column: nearest neighbours and their distance in Å.
Atoms (fractional coordinates):
1 Sn 0.7443 0.7443 0.4897  8 Sn 3.27-3.65, 4 Na 3.28
2 Na 0.2157 0.7167 0.4326  2 Tl 3.26-3.27, 10 Sn 3.28-3.48
3 Sn 0.2208 0.7188 0.9395  6 Sn 3.25-3.63, 4 Na 3.41-3.48, 2 Tl 3.43-3.46
4 Sn 0.7188 0.2208 0.9395  6 Sn 3.25-3.63, 4 Na 3.41-3.48, 2 Tl 3.43-3.46
5 Na 0.7167 0.2158 0.4326  2 Tl 3.26-3.27, 10 Sn 3.28-3.48
6 Sn 0.2215 0.2215 0.9401  6 Sn 3.25-3.62, 4 Na 3.42-3.47, 2 Tl 3.44-3.46
7 Tl 0.2208 0.2208 0.4412  4 Na 3.26-3.27, 8 Sn 3.42-3.46
8 Sn 0.7184 0.7184 0.9388  5 Sn 3.25-3.28, 4 Na 3.42-3.47, 2 Tl 3.42-3.46

***

Repeat the fifth record exactly.
This record from Alexandria describes an optimized crystal structure of Na2TlSn5. The functional is PBE.

Computed properties:
Volume ... 27.3 Å³ per atom
Formation energy from the elements ... -103 meV per atom
Energy ... -3.230 eV/atom

a = 6.5273 Å, b = 6.5292 Å, c = 6.9019 Å
α = 118.34°, β = 118.34°, γ = 89.98°
Last column: nearest neighbours and their distance in Å.
Atoms (fractional coordinates):
1 Sn 0.7443 0.7443 0.4897  8 Sn 3.27-3.65, 4 Na 3.28
2 Na 0.2157 0.7167 0.4326  2 Tl 3.26-3.27, 10 Sn 3.28-3.48
3 Sn 0.2208 0.7188 0.9395  6 Sn 3.25-3.63, 4 Na 3.41-3.48, 2 Tl 3.43-3.46
4 Sn 0.7188 0.2208 0.9395  6 Sn 3.25-3.63, 4 Na 3.41-3.48, 2 Tl 3.43-3.46
5 Na 0.7167 0.2158 0.4326  2 Tl 3.26-3.27, 10 Sn 3.28-3.48
6 Sn 0.2215 0.2215 0.9401  6 Sn 3.25-3.62, 4 Na 3.42-3.47, 2 Tl 3.44-3.46
7 Tl 0.2208 0.2208 0.4412  4 Na 3.26-3.27, 8 Sn 3.42-3.46
8 Sn 0.7184 0.7184 0.9388  5 Sn 3.25-3.28, 4 Na 3.42-3.47, 2 Tl 3.42-3.46